First-principles (PBE-GGA) data for a relaxed structure of NdInIr, as listed in Alexandria.

Properties
DOS at the Fermi energy, states/eV/cell: 4.89
Total magnetization, Bohr magnetons per cell: 0.00
Energy relative to the elements, eV/atom: -0.475
Total DFT energy (no corrections), eV per atom: -5.930
Space group: No. 216

a b c (Å): 6.755 6.755 6.755
angles (deg): 90.00 90.00 90.00
Atoms (fractional coordinates):
Nd (0.000, 0.000, 0.000)
Nd (0.000, 0.500, 0.500)
Nd (0.500, 0.000, 0.500)
Nd (0.500, 0.500, 0.000)
In (0.000, 0.000, 0.500)
In (0.000, 0.500, 0.000)
In (0.500, 0.000, 0.000)
In (0.500, 0.500, 0.500)
Ir (0.250, 0.250, 0.750)
Ir (0.250, 0.750, 0.250)
Ir (0.750, 0.250, 0.250)
Ir (0.750, 0.750, 0.750)

---

First-principles (PBE-GGA) data for a relaxed structure of Nd12In6Ir, as listed in Alexandria.

Properties
DOS at the Fermi energy, states/eV/cell: 21.17
Total magnetization, Bohr magnetons per cell: 0.00
Energy relative to the elements, eV/atom: -0.262
Total DFT energy (no corrections), eV per atom: -4.604
Space group: No. 148

a b c (Å): 8.545 8.545 8.545
angles (deg): 93.99 93.99 93.99
Atoms (fractional coordinates):
Nd (0.047, 0.931, 0.699)
Nd (0.069, 0.301, 0.953)
Nd (0.179, 0.408, 0.521)
Nd (0.301, 0.953, 0.069)
Nd (0.408, 0.521, 0.179)
Nd (0.479, 0.821, 0.592)
Nd (0.521, 0.179, 0.408)
Nd (0.592, 0.479, 0.821)
Nd (0.699, 0.047, 0.931)
Nd (0.821, 0.592, 0.479)
Nd (0.931, 0.699, 0.047)
Nd (0.953, 0.069, 0.301)
In (0.162, 0.768, 0.362)
In (0.232, 0.638, 0.838)
In (0.362, 0.162, 0.768)
In (0.638, 0.838, 0.232)
In (0.768, 0.362, 0.162)
In (0.838, 0.232, 0.638)
Ir (0.500, 0.500, 0.500)

---

First-principles (PBE-GGA) data for a relaxed structure of Nd2InIr2, as listed in Alexandria.

Properties
DOS at the Fermi energy, states/eV/cell: 7.65
Total magnetization, Bohr magnetons per cell: 0.00
Energy relative to the elements, eV/atom: -0.660
Total DFT energy (no corrections), eV per atom: -6.659
Space group: No. 15

a b c (Å): 5.900 5.900 8.263
angles (deg): 103.54 103.54 57.51
Atoms (fractional coordinates):
Nd (0.013, 0.697, 0.853)
Nd (0.303, 0.987, 0.647)
Nd (0.697, 0.013, 0.353)
Nd (0.987, 0.303, 0.147)
In (0.350, 0.650, 0.250)
In (0.650, 0.350, 0.750)
Ir (0.208, 0.506, 0.493)
Ir (0.494, 0.792, 0.007)
Ir (0.506, 0.208, 0.993)
Ir (0.792, 0.494, 0.507)

---

First-principles (PBE-GGA) data for a relaxed structure of Nd6InIr, as listed in Alexandria.

Properties
DOS at the Fermi energy, states/eV/cell: 11.95
Total magnetization, Bohr magnetons per cell: 0.00
Energy relative to the elements, eV/atom: -0.097
Total DFT energy (no corrections), eV per atom: -5.122
Space group: No. 2

a b c (Å): 7.060 7.121 7.744
angles (deg): 90.55 116.41 119.65
Atoms (fractional coordinates):
Nd (0.043, 0.081, 0.251)
Nd (0.288, 0.707, 0.250)
Nd (0.324, 0.535, 0.751)
Nd (0.676, 0.465, 0.249)
Nd (0.712, 0.293, 0.750)
Nd (0.957, 0.919, 0.749)
In (0.500, 0.000, 0.000)
Ir (0.500, 0.500, 0.500)

---

First-principles (PBE-GGA) data for a relaxed structure of NdIn9Ir2, as listed in Alexandria.

Properties
DOS at the Fermi energy, states/eV/cell: 12.97
Total magnetization, Bohr magnetons per cell: 0.00
Energy relative to the elements, eV/atom: -0.056
Total DFT energy (no corrections), eV per atom: -3.984
Space group: No. 141

a b c (Å): 9.466 9.466 9.466
angles (deg): 98.56 98.56 134.61
Atoms (fractional coordinates):
Nd (0.375, 0.625, 0.750)
Nd (0.625, 0.375, 0.250)
In (0.105, 0.551, 0.314)
In (0.105, 0.791, 0.553)
In (0.125, 0.875, 0.250)
In (0.209, 0.263, 0.314)
In (0.209, 0.895, 0.947)
In (0.263, 0.209, 0.814)
In (0.263, 0.449, 0.053)
In (0.449, 0.263, 0.553)
In (0.449, 0.895, 0.186)
In (0.551, 0.105, 0.814)
In (0.551, 0.737, 0.447)
In (0.737, 0.551, 0.947)
In (0.737, 0.791, 0.186)
In (0.791, 0.105, 0.053)
In (0.791, 0.737, 0.686)
In (0.875, 0.125, 0.750)
In (0.895, 0.209, 0.447)
In (0.895, 0.449, 0.686)
Ir (0.000, 0.000, 0.000)
Ir (0.000, 0.000, 0.500)
Ir (0.000, 0.500, 0.000)
Ir (0.500, 0.000, 0.500)

---

First-principles (PBE-GGA) data for a relaxed structure of NdInIr4, as listed in Alexandria.

Properties
DOS at the Fermi energy, states/eV/cell: 7.64
Total magnetization, Bohr magnetons per cell: 0.00
Energy relative to the elements, eV/atom: -0.326
Total DFT energy (no corrections), eV per atom: -7.485
Space group: No. 216

a b c (Å): 5.367 5.367 5.367
angles (deg): 60.00 60.00 60.00
Atoms (fractional coordinates):
Nd (0.000, 0.000, 0.000)
In (0.250, 0.250, 0.250)
Ir (0.127, 0.624, 0.624)
Ir (0.624, 0.127, 0.624)
Ir (0.624, 0.624, 0.127)
Ir (0.624, 0.624, 0.624)

---

First-principles (PBE-GGA) data for a relaxed structure of Nd8In2Ir, as listed in Alexandria.

Properties
DOS at the Fermi energy, states/eV/cell: 11.59
Total magnetization, Bohr magnetons per cell: 0.00
Energy relative to the elements, eV/atom: -0.307
Total DFT energy (no corrections), eV per atom: -5.078
Space group: No. 12

a b c (Å): 10.036 10.036 6.961
angles (deg): 106.37 106.37 30.53
Atoms (fractional coordinates):
Nd (0.016, 0.016, 0.285)
Nd (0.212, 0.212, 0.802)
Nd (0.353, 0.353, 0.529)
Nd (0.410, 0.410, 0.060)
Nd (0.590, 0.590, 0.940)
Nd (0.647, 0.647, 0.471)
Nd (0.788, 0.788, 0.198)
Nd (0.984, 0.984, 0.715)
In (0.180, 0.180, 0.234)
In (0.820, 0.820, 0.766)
Ir (0.500, 0.500, 0.500)

---

First-principles (PBE-GGA) data for a relaxed structure of NdIn2Ir, as listed in Alexandria.

Properties
DOS at the Fermi energy, states/eV/cell: 5.22
Total magnetization, Bohr magnetons per cell: 0.00
Energy relative to the elements, eV/atom: -0.527
Total DFT energy (no corrections), eV per atom: -5.303
Space group: No. 11

a b c (Å): 4.406 8.123 5.623
angles (deg): 90.00 112.87 90.00
Atoms (fractional coordinates):
Nd (0.071, 0.250, 0.138)
Nd (0.929, 0.750, 0.862)
In (0.354, 0.051, 0.709)
In (0.354, 0.449, 0.709)
In (0.646, 0.551, 0.291)
In (0.646, 0.949, 0.291)
Ir (0.220, 0.750, 0.439)
Ir (0.780, 0.250, 0.561)

---

First-principles (PBE-GGA) data for a relaxed structure of Nd2InIr, as listed in Alexandria.

Properties
DOS at the Fermi energy, states/eV/cell: 11.96
Offset from the most stable computed form, eV/f.u.: 0.00
Total magnetization, Bohr magnetons per cell: 0.00
Energy relative to the elements, eV/atom: -0.566
Total DFT energy (no corrections), eV per atom: -5.850
Space group: No. 63

a b c (Å): 4.037 14.796 7.454
angles (deg): 90.00 90.00 90.00
Atoms (fractional coordinates):
Nd (0.000, 0.141, 0.000)
Nd (0.000, 0.141, 0.500)
Nd (0.000, 0.859, 0.000)
Nd (0.000, 0.859, 0.500)
Nd (0.500, 0.359, 0.000)
Nd (0.500, 0.359, 0.500)
Nd (0.500, 0.641, 0.000)
Nd (0.500, 0.641, 0.500)
In (0.000, 0.497, 0.250)
In (0.000, 0.503, 0.750)
In (0.500, 0.003, 0.750)
In (0.500, 0.997, 0.250)
Ir (0.000, 0.301, 0.250)
Ir (0.000, 0.699, 0.750)
Ir (0.500, 0.199, 0.750)
Ir (0.500, 0.801, 0.250)

---

Which formula does entry 6 have? NdInIr4

---

Which value of total DFT energy (no corrections) does entry 6 give? -7.485 eV per atom

---

Which of these has the lowest energy relative to the elements? Nd2InIr2

---

The highest total DFT energy (no corrections) belongs to which entry? NdIn9Ir2